1.
Computed, not measured: a relaxed structure of KTbMgSe3 at the PBE-GGA level of DFT.

extended XYZ file:
```
12
Lattice="4.263 0.000 0.000 0.000 9.061 -0.278 0.000 -2.693 9.764" Properties=species:S:1:pos:R:3 pbc="T T T"
Mg 1.066 -0.872 5.923
Tb 3.198 0.677 8.350
Se 3.198 0.425 5.232
Se 1.066 5.944 4.254
Se 3.198 3.758 1.390
Mg 3.198 7.241 3.563
K 3.198 5.107 7.374
Tb 1.066 5.692 1.135
Se 1.066 2.611 8.095
Se 1.066 -1.318 8.411
Se 3.198 7.686 1.074
K 1.066 1.262 2.111
```

Properties
- mass density (g cm⁻³) = 4.08
- size of the total moment (μB/f.u.) = 0.000
- SG = P2_1/m
- formation energy without anion corrections (meV/atom) = -1553


2.
Computed, not measured: a relaxed structure of K3Tb2MgSe6 at the PBE-GGA level of DFT.

extended XYZ file:
```
12
Lattice="-0.403 3.561 -6.240 -5.976 -2.586 3.062 1.224 6.335 4.919" Properties=species:S:1:pos:R:3 pbc="T T T"
Tb -2.261 1.511 -3.138
Tb -4.118 -0.536 -0.040
Se -3.018 6.801 -0.044
Mg 0.000 0.000 0.000
K -4.429 1.614 3.960
K -0.727 5.696 -2.218
Se -0.315 2.518 -1.255
Se -2.137 0.509 1.786
Se -4.477 2.014 -1.352
Se -4.840 4.792 2.996
K -2.578 3.655 0.871
Se -0.678 5.296 3.093
```

Properties
- mass density (g cm⁻³) = 4.46
- size of the total moment (μB/f.u.) = 0.000
- SG = C2/m
- formation energy without anion corrections (meV/atom) = -1473


3.
Computed, not measured: a relaxed structure of K2Mg2Te2Se at the PBE-GGA level of DFT.

extended XYZ file:
```
7
Lattice="4.548 0.000 0.001 2.272 7.611 1.456 0.001 3.571 7.665" Properties=species:S:1:pos:R:3 pbc="T T T"
Te 4.548 4.140 3.250
Te 2.273 7.042 5.871
Mg 2.275 5.858 3.264
K 4.547 9.500 7.458
Se 0.000 0.000 0.000
K 2.274 1.682 1.662
Mg 4.547 5.324 5.856
```

Properties
- mass density (g cm⁻³) = 3.17
- size of the total moment (μB/f.u.) = 0.000
- SG = C2/m
- formation energy without anion corrections (meV/atom) = -1095


4.
Computed, not measured: a relaxed structure of KMg2TeSe at the PBE-GGA level of DFT.

extended XYZ file:
```
5
Lattice="6.059 0.000 0.000 0.000 6.059 0.000 0.000 0.000 5.437" Properties=species:S:1:pos:R:3 pbc="T T T"
Mg 3.030 0.000 0.000
Se 0.000 0.000 2.719
K 0.000 0.000 0.000
Mg 0.000 3.030 0.000
Te 3.030 3.030 2.719
```

Properties
- mass density (g cm⁻³) = 2.45
- size of the total moment (μB/f.u.) = 0.680
- SG = P4/mmm
- formation energy without anion corrections (meV/atom) = 745


5.
Computed, not measured: a relaxed structure of K2ThMgSe4 at the PBE-GGA level of DFT.

extended XYZ file:
```
8
Lattice="-2.177 -3.002 2.144 5.915 -1.594 3.776 -4.050 5.776 3.975" Properties=species:S:1:pos:R:3 pbc="T T T"
Se -0.550 -0.724 2.707
Se 0.238 1.903 7.187
Se 3.526 0.032 3.627
Mg 0.000 0.000 0.000
K -3.114 1.387 3.059
Se -1.660 4.149 4.124
Th 1.869 -2.298 2.960
K 0.933 2.091 3.876
```

Properties
- mass density (g cm⁻³) = 4.55
- size of the total moment (μB/f.u.) = 0.000
- SG = P2/m
- formation energy without anion corrections (meV/atom) = -1481


6.
Computed, not measured: a relaxed structure of K3Th3MgSe8 at the PBE-GGA level of DFT.

extended XYZ file:
```
15
Lattice="8.465 0.000 0.000 -4.233 7.329 -0.027 0.000 -4.856 7.877" Properties=species:S:1:pos:R:3 pbc="T T T"
Se 4.233 2.512 2.355
Th -2.116 1.236 3.925
Se -2.168 3.715 5.481
Se 6.401 -1.242 2.368
K 0.000 0.000 0.000
Se 4.232 0.022 5.639
Th 2.116 1.236 3.925
K 2.116 3.664 -0.014
Mg 0.000 -2.428 3.938
K -2.116 3.664 -0.014
Se 2.168 3.715 5.481
Se 0.000 2.451 2.211
Se 0.000 -0.039 5.494
Th 4.233 -2.428 3.938
Se 2.065 -1.242 2.369
```

Properties
- mass density (g cm⁻³) = 5.00
- size of the total moment (μB/f.u.) = 0.001
- SG = R-3m
- formation energy without anion corrections (meV/atom) = -1539


7.
Computed, not measured: a relaxed structure of K4Th3MgSe8 at the PBE-GGA level of DFT.

extended XYZ file:
```
16
Lattice="-7.877 3.153 0.046 -3.394 -8.489 0.717 5.603 2.497 5.863" Properties=species:S:1:pos:R:3 pbc="T T T"
K 2.802 1.248 2.932
K -1.137 2.825 2.955
Mg -1.697 -4.245 0.358
Se -2.799 -1.214 6.263
Se -5.582 -2.578 3.363
Th -2.834 -1.420 3.313
Se -1.630 -4.119 3.226
Th -5.636 -2.668 0.381
Se -0.086 -0.261 3.263
K -3.939 1.577 0.023
Se -4.038 1.279 3.400
Se -6.919 -0.004 0.386
Se 1.251 -2.835 6.239
K 0.000 0.000 0.000
Se -2.869 -1.626 0.363
Th 1.105 -2.996 3.290
```

Properties
- mass density (g cm⁻³) = 5.18
- size of the total moment (μB/f.u.) = 0.017
- SG = R-3m
- formation energy without anion corrections (meV/atom) = -1499


8.
Computed, not measured: a relaxed structure of K2MgTiSe4 at the PBE-GGA level of DFT.

extended XYZ file:
```
8
Lattice="-2.428 1.480 6.093 2.760 -2.727 5.473 2.462 5.218 3.423" Properties=species:S:1:pos:R:3 pbc="T T T"
Se 0.630 -0.724 2.455
Se -0.499 4.836 7.728
Se 0.803 -1.194 6.348
Se -0.568 2.533 4.550
Mg 0.000 0.000 0.000
K 2.611 1.246 4.448
Ti -1.214 0.740 3.046
K 1.397 1.986 7.494
```

Properties
- mass density (g cm⁻³) = 3.42
- size of the total moment (μB/f.u.) = 0.000
- SG = I-42m
- formation energy without anion corrections (meV/atom) = -1204


9.
Computed, not measured: a relaxed structure of KMgTlSe3 at the PBE-GGA level of DFT.

extended XYZ file:
```
12
Lattice="-2.017 3.452 -0.811 -3.684 -3.724 -6.692 -6.528 -1.726 8.897" Properties=species:S:1:pos:R:3 pbc="T T T"
Se -5.630 0.903 2.458
Se -4.314 0.523 -2.434
K -2.914 -0.417 0.342
Tl -5.299 -0.842 4.473
K -9.315 -1.581 1.053
Se -6.599 -2.901 -1.064
Se -5.714 -0.990 -5.390
Mg -3.463 -1.707 -3.784
Tl -6.930 -1.157 -3.078
Mg -8.766 -0.291 5.179
Se -7.914 -2.521 3.829
Se -6.515 -1.009 6.785
```

Properties
- mass density (g cm⁻³) = 4.55
- size of the total moment (μB/f.u.) = 0.000
- SG = P2_1/m
- formation energy without anion corrections (meV/atom) = -777


10.
Computed, not measured: a relaxed structure of K4MgU3Se8 at the PBE-GGA level of DFT.

extended XYZ file:
```
16
Lattice="-6.491 2.549 4.680 3.426 -4.444 7.170 4.933 5.655 -3.774" Properties=species:S:1:pos:R:3 pbc="T T T"
U 4.179 0.606 1.698
Se 2.398 4.254 4.836
Mg 1.713 -2.222 3.585
Se 5.694 2.959 2.459
Se -0.531 -0.493 3.242
U 0.934 1.880 4.039
Se 3.190 0.090 4.376
U -1.533 -0.947 5.925
Se -1.323 3.671 3.702
K 2.467 2.828 -1.887
K 0.000 0.000 0.000
Se 1.888 2.361 1.332
K -3.245 1.274 2.340
Se -3.826 0.801 5.618
Se -0.020 1.399 6.745
K -0.779 4.102 0.453
```

Properties
- mass density (g cm⁻³) = 5.38
- size of the total moment (μB/f.u.) = 8.000
- SG = R-3m
- formation energy without anion corrections (meV/atom) = -1249


11.
Computed, not measured: a relaxed structure of K3Mg3USe8 at the PBE-GGA level of DFT.

extended XYZ file:
```
15
Lattice="7.881 0.000 0.000 -3.940 6.961 -0.063 0.000 -4.649 7.923" Properties=species:S:1:pos:R:3 pbc="T T T"
U 0.000 -2.325 3.961
Se 2.021 3.507 5.450
Se 5.962 -1.195 2.409
Mg -1.970 1.156 3.930
K 1.970 3.481 -0.032
K -1.970 3.481 -0.032
Se 1.919 -1.195 2.409
Se 3.940 -0.003 5.428
Se -2.021 3.507 5.450
K 0.000 0.000 0.000
Se 0.000 2.315 2.431
Se 3.940 2.374 2.366
Mg 3.940 -2.325 3.961
Se 0.000 -0.062 5.494
Mg 1.970 1.156 3.930
```

Properties
- mass density (g cm⁻³) = 4.07
- size of the total moment (μB/f.u.) = 0.000
- SG = C2/m
- formation energy without anion corrections (meV/atom) = -1100


12.
Computed, not measured: a relaxed structure of K2MgUSe4 at the PBE-GGA level of DFT.

extended XYZ file:
```
8
Lattice="4.187 0.000 0.000 0.000 7.131 0.084 0.000 -2.537 7.625" Properties=species:S:1:pos:R:3 pbc="T T T"
Se 0.000 4.717 1.627
Se 0.000 -0.122 6.082
K 0.000 2.297 3.854
Se 2.094 1.147 1.501
Mg 0.000 0.000 0.000
Se 2.094 3.447 6.208
U 2.094 3.566 0.042
K 2.094 -1.268 3.812
```

Properties
- mass density (g cm⁻³) = 4.77
- size of the total moment (μB/f.u.) = 2.000
- SG = P2/m
- formation energy without anion corrections (meV/atom) = -1259


13.
Computed, not measured: a relaxed structure of K3Mg2USe6 at the PBE-GGA level of DFT.

extended XYZ file:
```
12
Lattice="-5.290 2.026 -4.239 -1.392 -2.322 6.537 2.826 7.252 1.904" Properties=species:S:1:pos:R:3 pbc="T T T"
K -1.928 3.478 2.101
Se -1.631 2.084 -0.873
Se -3.514 6.309 1.513
Se -0.342 0.648 2.689
Mg -3.990 0.575 -0.644
Se 0.501 5.736 2.133
K -0.636 2.037 5.673
Se -4.358 1.220 2.069
U 0.000 0.000 0.000
K -3.221 4.920 -1.471
Se -2.226 4.872 5.074
Mg -2.693 -0.871 2.942
```

Properties
- mass density (g cm⁻³) = 4.39
- size of the total moment (μB/f.u.) = 1.000
- SG = C2/m
- formation energy without anion corrections (meV/atom) = -1255


14.
Computed, not measured: a relaxed structure of KMgW2Se at the PBE-GGA level of DFT.

extended XYZ file:
```
5
Lattice="4.671 0.000 0.000 0.000 5.395 0.000 0.000 0.000 4.671" Properties=species:S:1:pos:R:3 pbc="T T T"
W 2.336 0.000 0.000
Se 0.000 2.697 0.000
W 0.000 0.000 2.336
Mg 2.336 2.697 2.336
K 0.000 0.000 0.000
```

Properties
- mass density (g cm⁻³) = 7.19
- size of the total moment (μB/f.u.) = 2.020
- SG = P4/mmm
- formation energy without anion corrections (meV/atom) = 2970


15.
Computed, not measured: a relaxed structure of KYMgSe3 at the PBE-GGA level of DFT.

extended XYZ file:
```
12
Lattice="4.252 0.000 0.000 0.000 9.053 -0.286 0.000 -2.700 9.743" Properties=species:S:1:pos:R:3 pbc="T T T"
Se 1.063 -1.319 8.400
K 1.063 1.261 2.113
Se 1.063 5.929 4.237
Se 3.189 7.673 1.057
Se 3.189 3.756 1.388
Se 1.063 2.598 8.069
Y 3.189 0.672 8.334
Y 1.063 5.682 1.123
Mg 1.063 -0.876 5.914
Se 3.189 0.425 5.220
K 3.189 5.093 7.344
Mg 3.189 7.230 3.543
```

Properties
- mass density (g cm⁻³) = 3.48
- size of the total moment (μB/f.u.) = 0.000
- SG = P2_1/m
- formation energy without anion corrections (meV/atom) = -1558


16.
Computed, not measured: a relaxed structure of KMgZnSe2 at the PBE-GGA level of DFT.

extended XYZ file:
```
10
Lattice="7.004 0.000 0.000 0.000 7.808 -0.033 0.000 -2.273 5.534" Properties=species:S:1:pos:R:3 pbc="T T T"
Zn 0.000 -1.137 2.767
Se 4.922 4.069 4.900
K 1.993 2.199 4.134
Mg 3.502 -0.568 1.384
Se 2.082 1.466 0.602
Se 4.922 0.329 3.369
Mg 3.502 -1.705 4.151
Zn 0.000 0.000 0.000
Se 2.082 5.205 2.132
K 5.011 3.336 1.367
```

Properties
- mass density (g cm⁻³) = 3.15
- size of the total moment (μB/f.u.) = 0.000
- excess energy over the best structure of this formula in the dataset (eV/f.u.) = 0.000
- SG = Cmme
- formation energy without anion corrections (meV/atom) = -751


17.
Computed, not measured: a relaxed structure of KMgZnSe2 at the PBE-GGA level of DFT.

extended XYZ file:
```
5
Lattice="5.267 0.000 0.000 0.000 4.918 0.000 0.000 0.000 5.267" Properties=species:S:1:pos:R:3 pbc="T T T"
Se 2.633 0.000 0.000
Zn 0.000 0.000 0.000
Mg 0.000 2.459 0.000
K 2.633 2.459 2.633
Se 0.000 0.000 2.633
```

Properties
- mass density (g cm⁻³) = 3.49
- size of the total moment (μB/f.u.) = 0.000
- excess energy over the best structure of this formula in the dataset (eV/f.u.) = 2.434
- SG = P4/mmm
- formation energy without anion corrections (meV/atom) = -264


18.
Computed, not measured: a relaxed structure of K3Mg2ZrSe6 at the PBE-GGA level of DFT.

extended XYZ file:
```
12
Lattice="6.928 -0.001 0.001 -3.464 6.001 0.001 -1.155 -2.000 7.728" Properties=species:S:1:pos:R:3 pbc="T T T"
K -2.294 3.991 3.865
Se 2.269 0.000 1.519
Se -0.021 -0.037 6.206
Se 0.041 4.000 6.210
Se 2.331 4.036 1.523
K 4.604 0.008 3.865
Se 3.444 2.034 6.210
Zr 0.000 0.000 0.000
Se -1.134 1.965 1.519
Mg 3.462 2.000 0.001
Mg 0.002 3.999 0.001
K 1.155 2.000 3.865
```

Properties
- mass density (g cm⁻³) = 3.78
- size of the total moment (μB/f.u.) = 0.000
- SG = C2/m
- formation energy without anion corrections (meV/atom) = -1195


19.
Computed, not measured: a relaxed structure of KMgSi at the PBE-GGA level of DFT.

extended XYZ file:
```
3
Lattice="3.533 0.000 0.000 -1.766 3.060 0.000 0.000 0.000 7.978" Properties=species:S:1:pos:R:3 pbc="T T T"
K 0.000 0.000 7.691
Si 0.000 2.040 5.050
Mg 1.766 1.020 3.214
```

Properties
- mass density (g cm⁻³) = 1.76
- size of the total moment (μB/f.u.) = 0.000
- excess energy over the best structure of this formula in the dataset (eV/f.u.) = 1.110
- SG = P3m1
- formation energy without anion corrections (meV/atom) = 406


20.
Computed, not measured: a relaxed structure of KMgSi at the PBE-GGA level of DFT.

extended XYZ file:
```
3
Lattice="-0.375 2.548 -6.225 -3.649 -1.551 -5.447 0.636 1.669 6.496" Properties=species:S:1:pos:R:3 pbc="T T T"
K -0.033 0.008 -0.094
Si -2.877 0.713 -8.346
Mg -1.114 0.276 -3.232
```

Properties
- mass density (g cm⁻³) = 1.81
- size of the total moment (μB/f.u.) = 0.000
- excess energy over the best structure of this formula in the dataset (eV/f.u.) = 0.491
- SG = Imm2
- formation energy without anion corrections (meV/atom) = 200